First-principles (PBE) data for crystalline PmPr2ReN4 at its relaxed geometry, as listed in Alexandria.

```
data_PmPr2ReN4
_cell_length_a 3.537
_cell_length_b 12.139
_cell_length_c 12.215
_cell_angle_alpha 90.00
_cell_angle_beta 90.00
_cell_angle_gamma 90.00
_symmetry_space_group_name_H-M 'C m c m'
_symmetry_Int_Tables_number 63
_symmetry_space_group_name_Hall '-C 2c 2'
loop_
_atom_site_label
_atom_site_fract_x
_atom_site_fract_y
_atom_site_fract_z
Pm1 0.000 0.123 0.250
Pr1 0.000 0.368 0.039
Re1 0.000 0.148 0.750
N1 0.000 0.000 0.000
N2 0.000 0.270 0.639
N3 0.000 0.427 0.250
```

Computed properties:
The calculation puts the spin magnetization at 0.000 μB/atom. The value obtained for the formation energy (no corrections) is -0.8198 eV per atom.

First-principles (PBE) data for crystalline Pm2PrReN4 at its relaxed geometry, as listed in Alexandria.

```
data_Pm2PrReN4
_cell_length_a 3.538
_cell_length_b 12.037
_cell_length_c 11.992
_cell_angle_alpha 90.00
_cell_angle_beta 90.00
_cell_angle_gamma 90.00
_symmetry_space_group_name_H-M 'C m c m'
_symmetry_Int_Tables_number 63
_symmetry_space_group_name_Hall '-C 2c 2'
loop_
_atom_site_label
_atom_site_fract_x
_atom_site_fract_y
_atom_site_fract_z
Pm1 0.000 0.132 0.040
Pr1 0.000 0.382 0.250
Re1 0.000 0.351 0.750
N1 0.000 0.071 0.250
N2 0.000 0.234 0.634
N3 0.000 0.500 0.000
```

Computed properties:
The calculation puts the spin magnetization at 0.000 μB/atom. The value obtained for the formation energy (no corrections) is -0.9028 eV per atom.

First-principles (PBE) data for crystalline PmPrReN4 at its relaxed geometry, as listed in Alexandria.

```
data_PmPrReN4
_cell_length_a 3.910
_cell_length_b 3.910
_cell_length_c 12.600
_cell_angle_alpha 90.00
_cell_angle_beta 90.00
_cell_angle_gamma 90.00
_symmetry_space_group_name_H-M 'I 4 m m'
_symmetry_Int_Tables_number 107
_symmetry_space_group_name_Hall 'I 4 -2'
loop_
_atom_site_label
_atom_site_fract_x
_atom_site_fract_y
_atom_site_fract_z
Pm1 0.000 0.000 0.000
Pr1 0.000 0.000 0.292
Re1 0.000 0.000 0.645
N1 0.000 0.000 0.481
N2 0.000 0.000 0.813
N3 0.000 0.500 0.145
```

Computed properties:
The calculation puts the spin magnetization at 0.000 μB/atom. The value obtained for the formation energy (no corrections) is -0.8757 eV per atom.

First-principles (PBE) data for crystalline PmPrSN at its relaxed geometry, as listed in Alexandria.

```
data_PmPrSN
_cell_length_a 3.7839
_cell_length_b 3.7839
_cell_length_c 19.7104
_cell_angle_alpha 90.00
_cell_angle_beta 90.00
_cell_angle_gamma 120.00
_symmetry_space_group_name_H-M 'R 3 m'
_symmetry_Int_Tables_number 160
_symmetry_space_group_name_Hall 'R 3 -2"'
loop_
_atom_site_label
_atom_site_fract_x
_atom_site_fract_y
_atom_site_fract_z
Pm1 0.0000 0.0000 0.0000
Pr1 0.0000 0.0000 0.5259
S1 0.0000 0.0000 0.7613
N1 0.0000 0.0000 0.2657
```

Computed properties:
The calculation puts the spin magnetization at 0.000 μB/atom. The value obtained for the formation energy (no corrections) is -1.7235 eV per atom.

First-principles (PBE) data for crystalline Pm2PrSbN4 at its relaxed geometry, as listed in Alexandria.

```
data_Pm2PrSbN4
_cell_length_a 3.715
_cell_length_b 12.054
_cell_length_c 12.281
_cell_angle_alpha 90.00
_cell_angle_beta 90.00
_cell_angle_gamma 90.00
_symmetry_space_group_name_H-M 'C m c m'
_symmetry_Int_Tables_number 63
_symmetry_space_group_name_Hall '-C 2c 2'
loop_
_atom_site_label
_atom_site_fract_x
_atom_site_fract_y
_atom_site_fract_z
Pm1 0.000 0.129 0.037
Pr1 0.000 0.390 0.250
Sb1 0.000 0.347 0.750
N1 0.000 0.063 0.250
N2 0.000 0.224 0.631
N3 0.000 0.500 0.000
```

Computed properties:
The calculation puts the spin magnetization at 0.000 μB/atom. The value obtained for the formation energy (no corrections) is -0.6482 eV per atom.

First-principles (PBE) data for crystalline Pm4Pr2Sb3N2 at its relaxed geometry, as listed in Alexandria.

```
data_Pm4Pr2Sb3N2
_cell_length_a 4.795
_cell_length_b 4.795
_cell_length_c 26.082
_cell_angle_alpha 90.00
_cell_angle_beta 90.00
_cell_angle_gamma 90.00
_symmetry_space_group_name_H-M 'I 4/m m m'
_symmetry_Int_Tables_number 139
_symmetry_space_group_name_Hall '-I 4 2'
loop_
_atom_site_label
_atom_site_fract_x
_atom_site_fract_y
_atom_site_fract_z
Pm1 0.000 0.500 0.082
Pr1 0.000 0.000 0.193
Sb1 0.000 0.000 0.323
Sb2 0.000 0.000 0.500
N1 0.000 0.000 0.102
```

Computed properties:
The calculation puts the spin magnetization at 0.000 μB/atom. The value obtained for the formation energy (no corrections) is -1.1574 eV per atom.

Which formula does entry 5 have? Pm2PrSbN4

The highest formation energy (no corrections) belongs to which entry? Pm2PrSbN4